Entry from the Alexandria database: an optimized crystal structure of Al2AgOsI (PBE).

Unit cell a=4.7687 b=4.7687 c=5.2921 alpha=90.00 beta=90.00 gamma=90.00
Closest atoms and distances in Å follow each position.
Element x y z (fractional)
Al1 0.0000 0.5000 0.0000  2 Ag 2.38
Al2 0.5000 0.0000 0.0000  2 Ag 2.38
Ag1 0.0000 0.0000 0.0000  4 Al 2.38, 2 Os 2.65
Os1 0.0000 0.0000 0.5000  2 Ag 2.65
I1 0.5000 0.5000 0.5000  4 Os 3.37, 8 Al 3.56

Results
Total magnetic moment in μB per formula unit: 2.2
DFT total energy in Ry per atom: -0.24738
Formation energy (no corrections) in meV per atom: 1257


Entry from the Alexandria database: an optimized crystal structure of Rb2AlAgI6 (PBE).

Unit cell a=8.2580 b=8.2580 c=8.2580 alpha=60.00 beta=60.00 gamma=60.00
Closest atoms and distances in Å follow each position.
Element x y z (fractional)
Rb1 0.2500 0.2500 0.2500  12 I 4.13
Rb2 0.7500 0.7500 0.7500  12 I 4.13
Al1 0.0000 0.0000 0.0000  6 I 2.80
Ag1 0.5000 0.5000 0.5000  6 I 3.04
I1 0.2397 0.2397 0.7603  1 Al 2.80, 1 Ag 3.04
I2 0.2397 0.7603 0.2397  1 Al 2.80, 1 Ag 3.04
I3 0.2397 0.7603 0.7603  1 Al 2.80, 1 Ag 3.04
I4 0.7603 0.2397 0.2397  1 Al 2.80, 1 Ag 3.04
I5 0.7603 0.2397 0.7603  1 Al 2.80, 1 Ag 3.04
I6 0.7603 0.7603 0.2397  1 Al 2.80, 1 Ag 3.04

Results
Total magnetic moment in μB per formula unit: 0.0
DFT total energy in Ry per atom: -0.19213
Formation energy (no corrections) in meV per atom: -831


Entry from the Alexandria database: an optimized crystal structure of Rb2AlAgI6 (PBE).

Unit cell a=8.4175 b=8.4180 c=8.6091 alpha=90.08 beta=119.22 gamma=119.93
Closest atoms and distances in Å follow each position.
Element x y z (fractional)
Rb1 0.0000 0.0000 0.0000  6 I 3.76-3.83, 1 Ag 3.89
Rb2 0.0057 0.5029 0.5095  6 I 3.70-3.88
Al1 0.4813 0.2404 0.7223  3 I 2.67
Ag1 0.6349 0.8171 0.4526  3 I 2.77
I1 0.3740 0.4415 0.4394  1 Ag 2.77, 1 Al 3.00
I2 0.3890 0.3972 0.9084  1 Al 2.67
I3 0.5064 0.0649 0.4391  1 Ag 2.77, 1 Al 3.00
I4 0.5105 0.9917 0.9082  1 Al 2.67
I5 0.9158 0.5183 0.9087  1 Al 2.67
I6 0.9974 0.9324 0.4390  1 Ag 2.77, 1 Al 3.00

Results
Total magnetic moment in μB per formula unit: 0.0
DFT total energy in Ry per atom: -0.19415
Formation energy (no corrections) in meV per atom: -859


Entry from the Alexandria database: an optimized crystal structure of AlAgSbI2 (PBE).

Unit cell a=5.5705 b=5.5705 c=5.4368 alpha=90.00 beta=90.00 gamma=90.00
Closest atoms and distances in Å follow each position.
Element x y z (fractional)
Al1 0.0000 0.0000 0.0000  2 Sb 2.72, 4 I 2.79
Ag1 0.5000 0.5000 0.5000  8 I 3.89, 4 Sb 3.94
Sb1 0.0000 0.0000 0.5000  2 Al 2.72
I1 0.0000 0.5000 0.0000  2 Al 2.79
I2 0.5000 0.0000 0.0000  2 Al 2.79

Results
Total magnetic moment in μB per formula unit: 0.8
DFT total energy in Ry per atom: -0.17608
Formation energy (no corrections) in meV per atom: 368


Entry from the Alexandria database: an optimized crystal structure of AlAgSb2I (PBE).

Unit cell a=5.3149 b=5.3149 c=5.5978 alpha=90.00 beta=90.00 gamma=90.00
Closest atoms and distances in Å follow each position.
Element x y z (fractional)
Al1 0.0000 0.0000 0.0000  4 Sb 2.66, 2 I 2.80
Ag1 0.5000 0.5000 0.5000  4 I 3.76, 8 Sb 3.86
Sb1 0.0000 0.5000 0.0000  2 Al 2.66
Sb2 0.5000 0.0000 0.0000  2 Al 2.66
I1 0.0000 0.0000 0.5000  2 Al 2.80

Results
Total magnetic moment in μB per formula unit: 0.4
DFT total energy in Ry per atom: -0.19906
Formation energy (no corrections) in meV per atom: 569


Entry from the Alexandria database: an optimized crystal structure of AlAgSbI2 (PBE).

Unit cell a=5.8557 b=5.8557 c=5.3792 alpha=90.00 beta=90.00 gamma=90.00
Closest atoms and distances in Å follow each position.
Element x y z (fractional)
Al1 0.0000 0.0000 0.0000  8 I 3.98, 4 Sb 4.14
Ag1 0.5000 0.5000 0.5000  2 Sb 2.69, 4 I 2.93
Sb1 0.5000 0.5000 0.0000  2 Ag 2.69
I1 0.0000 0.5000 0.5000  2 Ag 2.93
I2 0.5000 0.0000 0.5000  2 Ag 2.93

Results
Total magnetic moment in μB per formula unit: 1.4
DFT total energy in Ry per atom: -0.16955
Formation energy (no corrections) in meV per atom: 456


Entry from the Alexandria database: an optimized crystal structure of AlAgSb2I (PBE).

Unit cell a=5.3462 b=5.3462 c=6.0375 alpha=90.00 beta=90.00 gamma=90.00
Closest atoms and distances in Å follow each position.
Element x y z (fractional)
Al1 0.0000 0.0000 0.0000  4 I 3.78, 8 Sb 4.03
Ag1 0.5000 0.5000 0.5000  4 Sb 2.67
Sb1 0.0000 0.5000 0.5000  2 Ag 2.67
Sb2 0.5000 0.0000 0.5000  2 Ag 2.67
I1 0.5000 0.5000 0.0000  2 Ag 3.02

Results
Total magnetic moment in μB per formula unit: 1.1
DFT total energy in Ry per atom: -0.19068
Formation energy (no corrections) in meV per atom: 683


Entry from the Alexandria database: an optimized crystal structure of AlAgSb2I (PBE).

Unit cell a=5.8953 b=5.8953 c=5.2899 alpha=90.00 beta=90.00 gamma=90.00
Closest atoms and distances in Å follow each position.
Element x y z (fractional)
Al1 0.0000 0.0000 0.0000  8 Sb 3.96, 4 Ag 4.17
Ag1 0.5000 0.5000 0.0000  2 I 2.64
Sb1 0.0000 0.5000 0.5000  2 I 2.95
Sb2 0.5000 0.0000 0.5000  2 I 2.95
I1 0.5000 0.5000 0.5000  2 Ag 2.64, 4 Sb 2.95

Results
Total magnetic moment in μB per formula unit: 0.0
DFT total energy in Ry per atom: -0.16172
Formation energy (no corrections) in meV per atom: 1077


Entry from the Alexandria database: an optimized crystal structure of ScAlAg2I (PBE).

Unit cell a=5.3057 b=5.3057 c=5.3481 alpha=90.00 beta=90.00 gamma=90.00
Closest atoms and distances in Å follow each position.
Element x y z (fractional)
Sc1 0.0000 0.0000 0.0000  2 I 2.67
Al1 0.5000 0.5000 0.0000  4 Sc 3.75, 8 Ag 3.77
Ag1 0.0000 0.5000 0.5000  2 I 2.65
Ag2 0.5000 0.0000 0.5000  2 I 2.65
I1 0.0000 0.0000 0.5000  4 Ag 2.65, 2 Sc 2.67

Results
Total magnetic moment in μB per formula unit: 0.0
DFT total energy in Ry per atom: -0.19548
Formation energy (no corrections) in meV per atom: 806


Entry from the Alexandria database: an optimized crystal structure of AlSiAg2I (PBE).

Unit cell a=5.2898 b=5.2898 c=5.9292 alpha=90.00 beta=90.00 gamma=90.00
Closest atoms and distances in Å follow each position.
Element x y z (fractional)
Al1 0.0000 0.0000 0.0000  2 I 2.96
Si1 0.5000 0.5000 0.0000  4 Al 3.74, 8 Ag 3.97
Ag1 0.0000 0.5000 0.5000  2 I 2.64
Ag2 0.5000 0.0000 0.5000  2 I 2.64
I1 0.0000 0.0000 0.5000  4 Ag 2.64

Results
Total magnetic moment in μB per formula unit: 1.0
DFT total energy in Ry per atom: -0.14888
Formation energy (no corrections) in meV per atom: 1258


Entry from the Alexandria database: an optimized crystal structure of AlAgTeI2 (PBE).

Unit cell a=5.5777 b=5.5777 c=5.4385 alpha=90.00 beta=90.00 gamma=90.00
Closest atoms and distances in Å follow each position.
Element x y z (fractional)
Al1 0.0000 0.0000 0.0000  2 Te 2.72, 4 I 2.79
Ag1 0.5000 0.5000 0.5000  8 I 3.90, 4 Te 3.94
Te1 0.0000 0.0000 0.5000  2 Al 2.72
I1 0.0000 0.5000 0.0000  2 Al 2.79
I2 0.5000 0.0000 0.0000  2 Al 2.79

Results
Total magnetic moment in μB per formula unit: 0.0
DFT total energy in Ry per atom: -0.17621
Formation energy (no corrections) in meV per atom: 170


Entry from the Alexandria database: an optimized crystal structure of AlAgTeI2 (PBE).

Unit cell a=5.7275 b=5.7275 c=5.4936 alpha=90.00 beta=90.00 gamma=90.00
Closest atoms and distances in Å follow each position.
Element x y z (fractional)
Al1 0.0000 0.0000 0.0000  8 I 3.97, 4 Te 4.05
Ag1 0.5000 0.5000 0.5000  2 Te 2.75, 4 I 2.86
Te1 0.5000 0.5000 0.0000  2 Ag 2.75
I1 0.0000 0.5000 0.5000  2 Ag 2.86
I2 0.5000 0.0000 0.5000  2 Ag 2.86

Results
Total magnetic moment in μB per formula unit: 0.0
DFT total energy in Ry per atom: -0.16542
Formation energy (no corrections) in meV per atom: 316


Entry from the Alexandria database: an optimized crystal structure of Al2VAgI (PBE).

Unit cell a=5.5242 b=5.5242 c=5.2106 alpha=90.00 beta=90.00 gamma=90.00
Closest atoms and distances in Å follow each position.
Element x y z (fractional)
Al1 0.0000 0.5000 0.0000  2 I 2.76
Al2 0.5000 0.0000 0.0000  2 I 2.76
V1 0.0000 0.0000 0.5000  8 Al 3.80, 4 Ag 3.91
Ag1 0.5000 0.5000 0.5000  2 I 2.61
I1 0.5000 0.5000 0.0000  2 Ag 2.61, 4 Al 2.76

Results
Total magnetic moment in μB per formula unit: 0.1
DFT total energy in Ry per atom: -0.18020
Formation energy (no corrections) in meV per atom: 1749


Entry from the Alexandria database: an optimized crystal structure of Al2InAg3 (PBE).

Unit cell a=6.6709 b=6.6709 c=5.3381 alpha=90.00 beta=90.00 gamma=82.12
Closest atoms and distances in Å follow each position.
Element x y z (fractional)
Al1 0.2439 0.2439 0.0000  2 Al 2.67, 6 Ag 2.70-2.80
Al2 0.2439 0.2439 0.5000  2 Al 2.67, 6 Ag 2.70-2.80
Al3 0.7561 0.7561 0.0000  2 Al 2.67, 6 Ag 2.70-2.80
Al4 0.7561 0.7561 0.5000  2 Al 2.67, 6 Ag 2.70-2.80
In1 0.3588 0.6412 0.7500  5 Ag 2.95-3.20, 4 Al 3.15
In2 0.6412 0.3588 0.2500  5 Ag 2.95-3.20, 4 Al 3.15
Ag1 0.0218 0.9782 0.7500  4 Ag 2.70-2.91, 4 Al 2.80, 1 In 2.95
Ag2 0.1064 0.5867 0.2500  4 Al 2.70-2.79, 1 Ag 2.91
Ag3 0.4133 0.8936 0.2500  4 Al 2.70-2.79, 1 Ag 2.91
Ag4 0.5867 0.1064 0.7500  4 Al 2.70-2.79, 1 Ag 2.91
Ag5 0.8936 0.4133 0.7500  4 Al 2.70-2.79, 1 Ag 2.91
Ag6 0.9782 0.0218 0.2500  4 Ag 2.70-2.91, 4 Al 2.80, 1 In 2.95

Results
Total magnetic moment in μB per formula unit: 0.0
DFT total energy in Ry per atom: -0.22603
Energy relative to the elements in eV/atom: 0.054


Entry from the Alexandria database: an optimized crystal structure of Al2InAg9 (PBE).

Unit cell a=4.1486 b=4.1486 c=12.3803 alpha=90.00 beta=90.00 gamma=90.00
Closest atoms and distances in Å follow each position.
Element x y z (fractional)
Al1 0.0000 0.0000 0.1636  12 Ag 2.87-2.93
Al2 0.0000 0.0000 0.8364  12 Ag 2.87-2.93
In1 0.0000 0.0000 0.5000  12 Ag 2.93-3.01
Ag1 0.0000 0.5000 0.0000  8 Ag 2.88-2.93, 4 Al 2.90
Ag2 0.0000 0.5000 0.3239  2 Al 2.87, 8 Ag 2.88-3.01, 2 In 3.01
Ag3 0.0000 0.5000 0.6761  2 Al 2.87, 8 Ag 2.88-3.01, 2 In 3.01
Ag4 0.5000 0.0000 0.0000  8 Ag 2.88-2.93, 4 Al 2.90
Ag5 0.5000 0.0000 0.3239  2 Al 2.87, 8 Ag 2.88-3.01, 2 In 3.01
Ag6 0.5000 0.0000 0.6761  2 Al 2.87, 8 Ag 2.88-3.01, 2 In 3.01
Ag7 0.5000 0.5000 0.1619  8 Ag 2.88, 4 Al 2.93
Ag8 0.5000 0.5000 0.5000  4 In 2.93, 8 Ag 3.01
Ag9 0.5000 0.5000 0.8381  8 Ag 2.88, 4 Al 2.93

Results
Total magnetic moment in μB per formula unit: 0.0
DFT total energy in Ry per atom: -0.22164
Energy relative to the elements in eV/atom: -0.025


Entry from the Alexandria database: an optimized crystal structure of AlInAg5 (PBE).

Unit cell a=4.9525 b=4.9525 c=10.8939 alpha=90.00 beta=90.00 gamma=79.98
Closest atoms and distances in Å follow each position.
Element x y z (fractional)
Al1 0.0000 0.0000 0.0000  10 Ag 2.70-3.00
Al2 0.0000 0.0000 0.5000  10 Ag 2.70-3.00
In1 0.3497 0.6503 0.7500  5 Ag 2.71-2.85
In2 0.6503 0.3497 0.2500  5 Ag 2.71-2.85
Ag1 0.0756 0.9244 0.2500  1 In 2.71, 2 Al 2.77, 4 Ag 2.84
Ag2 0.1603 0.4375 0.1070  2 Al 2.70-3.00, 3 Ag 2.83-2.92, 1 In 2.85
Ag3 0.1603 0.4375 0.3930  2 Al 2.70-3.00, 3 Ag 2.83-2.92, 1 In 2.85
Ag4 0.4375 0.1603 0.6070  2 Al 2.70-3.00, 3 Ag 2.83-2.92, 1 In 2.85
Ag5 0.4375 0.1603 0.8930  2 Al 2.70-3.00, 3 Ag 2.83-2.92, 1 In 2.85
Ag6 0.5625 0.8397 0.1070  2 Al 2.70-3.00, 3 Ag 2.83-2.92, 1 In 2.85
Ag7 0.5625 0.8397 0.3930  2 Al 2.70-3.00, 3 Ag 2.83-2.92, 1 In 2.85
Ag8 0.8397 0.5625 0.6070  2 Al 2.70-3.00, 3 Ag 2.83-2.92, 1 In 2.85
Ag9 0.8397 0.5625 0.8930  2 Al 2.70-3.00, 3 Ag 2.83-2.92, 1 In 2.85
Ag10 0.9244 0.0756 0.7500  1 In 2.71, 2 Al 2.77, 4 Ag 2.84

Results
Total magnetic moment in μB per formula unit: 0.0
DFT total energy in Ry per atom: -0.21811
Energy relative to the elements in eV/atom: -0.005


Entry from the Alexandria database: an optimized crystal structure of Al3InAg3 (PBE).

Unit cell a=7.1897 b=7.1897 c=7.1897 alpha=90.00 beta=90.00 gamma=90.00
Closest atoms and distances in Å follow each position.
Element x y z (fractional)
Al1 0.0000 0.2500 0.5000  4 Ag 2.54
Al2 0.0000 0.7500 0.5000  4 Ag 2.54
Al3 0.2500 0.5000 0.0000  4 Ag 2.54
Al4 0.5000 0.0000 0.2500  4 Ag 2.54
Al5 0.5000 0.0000 0.7500  4 Ag 2.54
Al6 0.7500 0.5000 0.0000  4 Ag 2.54
In1 0.0000 0.0000 0.0000  12 Al 4.02, 12 Ag 4.02
In2 0.5000 0.5000 0.5000  12 Al 4.02, 12 Ag 4.02
Ag1 0.0000 0.5000 0.2500  4 Al 2.54
Ag2 0.0000 0.5000 0.7500  4 Al 2.54
Ag3 0.2500 0.0000 0.5000  4 Al 2.54
Ag4 0.5000 0.2500 0.0000  4 Al 2.54
Ag5 0.5000 0.7500 0.0000  4 Al 2.54
Ag6 0.7500 0.0000 0.5000  4 Al 2.54

Results
Total magnetic moment in μB per formula unit: 0.0
DFT total energy in Ry per atom: -0.20250
Energy relative to the elements in eV/atom: 0.462


Entry from the Alexandria database: an optimized crystal structure of AlIn2Ag2 (PBE).

Unit cell a=7.0592 b=7.0592 c=4.3804 alpha=90.00 beta=90.00 gamma=90.00
Closest atoms and distances in Å follow each position.
Element x y z (fractional)
Al1 0.0000 0.0000 0.0000  4 Ag 2.71
Al2 0.5000 0.5000 0.0000  4 Ag 2.71
In1 0.1642 0.3358 0.5000  6 Ag 2.90-3.09
In2 0.3358 0.8358 0.5000  6 Ag 2.90-3.09
In3 0.6642 0.1642 0.5000  6 Ag 2.90-3.09
In4 0.8358 0.6642 0.5000  6 Ag 2.90-3.09
Ag1 0.1447 0.6447 0.0000  2 Al 2.71, 1 Ag 2.89, 2 In 2.90
Ag2 0.3553 0.1447 0.0000  2 Al 2.71, 1 Ag 2.89, 2 In 2.90
Ag3 0.6447 0.8553 0.0000  2 Al 2.71, 1 Ag 2.89, 2 In 2.90
Ag4 0.8553 0.3553 0.0000  2 Al 2.71, 1 Ag 2.89, 2 In 2.90

Results
Total magnetic moment in μB per formula unit: 0.0
DFT total energy in Ry per atom: -0.21117
Energy relative to the elements in eV/atom: 0.111


Entry from the Alexandria database: an optimized crystal structure of AlIn2Ag4 (PBE).

Unit cell a=3.0174 b=3.1188 c=16.2862 alpha=90.33 beta=90.07 gamma=116.55
Closest atoms and distances in Å follow each position.
Element x y z (fractional)
Al1 0.0000 0.0000 0.0000  6 Ag 2.72-2.78, 2 Al 3.02
In1 0.9945 0.0878 0.4162  6 Ag 3.01-3.06, 6 In 3.02-3.23
In2 0.9972 0.0544 0.7173  6 Ag 2.96-3.23, 6 In 3.02-3.23
Ag1 0.3274 0.7329 0.2675  9 Ag 2.91-3.23, 3 In 3.01-3.03
Ag2 0.3302 0.7514 0.5662  6 In 2.96-3.15, 6 Ag 3.02-3.23
Ag3 0.6587 0.3363 0.8723  3 Al 2.73-2.78, 1 In 2.99, 2 Ag 3.02
Ag4 0.6676 0.3572 0.1257  3 Al 2.72-2.73, 5 Ag 2.91-3.02

Results
Total magnetic moment in μB per formula unit: 0.0
DFT total energy in Ry per atom: -0.21508
Energy relative to the elements in eV/atom: 0.020


Entry from the Alexandria database: an optimized crystal structure of AlInAg6 (PBE).

Unit cell a=5.2827 b=5.3372 c=5.3642 alpha=92.80 beta=93.73 gamma=93.52
Closest atoms and distances in Å follow each position.
Element x y z (fractional)
Al1 0.0000 0.0000 0.0000  6 Ag 2.76-2.77
In1 0.5000 0.5000 0.5000  12 Ag 2.88-3.16
Ag1 0.0355 0.4409 0.7529  6 Ag 2.75-3.02, 1 Al 2.76, 1 In 2.89
Ag2 0.2480 0.9595 0.5634  6 Ag 2.73-3.02, 1 Al 2.76, 1 In 2.88
Ag3 0.4458 0.7515 0.0369  6 Ag 2.73-2.99, 1 Al 2.77, 1 In 2.89
Ag4 0.5542 0.2485 0.9631  6 Ag 2.73-2.99, 1 Al 2.77, 1 In 2.89
Ag5 0.7520 0.0405 0.4366  6 Ag 2.73-3.02, 1 Al 2.76, 1 In 2.88
Ag6 0.9645 0.5591 0.2471  6 Ag 2.75-3.02, 1 Al 2.76, 1 In 2.89

Results
Total magnetic moment in μB per formula unit: 0.0
DFT total energy in Ry per atom: -0.21576
Energy relative to the elements in eV/atom: 0.013